(1)
4
Lattice="3.6941 0.0000 0.0000 0.0000 3.6941 0.0000 -1.8470 -1.8470 3.7597" Properties=species:S:1:pos:R:3 comment="FeTc2Rh GGA-PBEsol optimized geometry" e_form_mev_per_atom=6 rho_g_cm3=11.482 spacegroup="I4/mmm (139)" n_ef_per_ev_atom=1.14 polymorph_energy_ev_per_atom=0.000 pbc="T T T"
Tc 1.8470 0.0000 1.8799
Tc 0.0000 1.8470 1.8799
Rh 0.0000 0.0000 0.0000
Fe 1.8470 1.8470 0.0000

---

(2)
4
Lattice="2.6618 0.0000 0.0000 0.0000 2.6618 0.0000 0.0000 0.0000 7.3818" Properties=species:S:1:pos:R:3 comment="FeTcRh2 GGA-PBEsol optimized geometry" e_form_mev_per_atom=-57 rho_g_cm3=11.419 spacegroup="P4/mmm (123)" n_ef_per_ev_atom=1.04 pbc="T T T"
Rh 0.0000 0.0000 5.5057
Rh 0.0000 0.0000 1.8761
Fe 1.3309 1.3309 3.6909
Tc 1.3309 1.3309 0.0000

---

(3)
4
Lattice="-2.3806 -2.5658 -1.3504 2.8320 -1.6830 -1.7948 0.3842 0.0069 4.5207" Properties=species:S:1:pos:R:3 comment="FeTc2Rh GGA-PBEsol optimized geometry" e_form_mev_per_atom=19 rho_g_cm3=11.372 spacegroup="I-4m2 (119)" n_ef_per_ev_atom=1.02 polymorph_energy_ev_per_atom=0.013 pbc="T T T"
Tc -0.8853 -2.3417 0.7988
Tc 0.0000 0.0000 0.0000
Fe 0.2257 -2.1244 -1.5726
Rh 1.7210 -1.9003 0.5766

---

(4)
4
Lattice="3.2848 0.0000 0.0000 0.0000 3.2848 0.0000 0.0000 0.0000 5.6235" Properties=species:S:1:pos:R:3 comment="FeTeRh2 GGA-PBEsol optimized geometry" rho_g_cm3=10.652 formation_energy_uncorrected_ev_per_atom=0.066 spacegroup="P4/mmm (123)" n_ef_per_ev_atom=0.77 pbc="T T T"
Te 1.6424 1.6424 0.0000
Rh 0.0000 0.0000 1.5030
Fe 1.6424 1.6424 2.8117
Rh 0.0000 0.0000 4.1205

---

(5)
5
Lattice="3.7526 0.0000 0.0000 0.0000 3.7526 0.0000 -1.8763 -1.8763 5.5418" Properties=species:S:1:pos:R:3 comment="Fe2TeRh2 GGA-PBEsol optimized geometry" rho_g_cm3=9.471 formation_energy_uncorrected_ev_per_atom=0.379 spacegroup="I4/mmm (139)" n_ef_per_ev_atom=1.13 pbc="T T T"
Te 0.0000 0.0000 0.0000
Rh 0.0000 1.8763 2.7709
Fe 1.8763 1.8763 1.1896
Rh 1.8763 0.0000 2.7709
Fe 0.0000 0.0000 4.3522

---

(6)
4
Lattice="3.4375 0.0000 0.0000 0.0000 3.4375 0.0000 0.0000 0.0000 5.2781" Properties=species:S:1:pos:R:3 comment="FeTeRh2 GGA-PBEsol optimized geometry" rho_g_cm3=10.364 formation_energy_uncorrected_ev_per_atom=0.132 spacegroup="P4mm (99)" n_ef_per_ev_atom=0.75 pbc="T T T"
Rh 1.7188 1.7188 1.4066
Rh 0.0000 0.0000 5.1013
Fe 1.7188 1.7188 4.1972
Te 0.0000 0.0000 2.4903

---

(7)
4
Lattice="-2.1038 -0.9548 1.5719 -1.0944 -2.9982 -3.6759 4.2989 -1.1276 2.7799" Properties=species:S:1:pos:R:3 comment="TlFeRh2 GGA-PBEsol optimized geometry" e_form_mev_per_atom=359 rho_g_cm3=12.762 spacegroup="C2/m (12)" n_ef_per_ev_atom=0.85 pbc="T T T"
Rh 2.1495 -0.5638 1.3900
Tl -0.5472 -1.4991 -1.8380
Rh 0.5504 -2.5402 0.3380
Fe -1.0519 -0.4774 0.7860

---

(8)
3
Lattice="4.2775 0.0000 0.0000 2.1387 3.7044 0.0000 2.1387 1.2348 3.4925" Properties=species:S:1:pos:R:3 comment="TlFeRh GGA-PBEsol optimized geometry" e_form_mev_per_atom=503 rho_g_cm3=10.896 spacegroup="F-43m (216)" n_ef_per_ev_atom=1.77 polymorph_energy_ev_per_atom=0.208 pbc="T T T"
Fe 4.2775 2.4696 1.7463
Rh 2.1387 1.2348 0.8731
Tl 0.0000 0.0000 0.0000